DFT (PBE-GGA) results for a geometry-optimized LiFe2W structure.

Geometry as CIF:
```
data_LiFe2W
_chemical_formula_sum 'Li1 Fe2 W1'
_space_group_name_H-M_alt 'P 1'
_space_group_IT_number 1
_cell_length_a 2.5929
_cell_length_b 3.8299
_cell_length_c 5.0619
_cell_angle_alpha 90.00
_cell_angle_beta 90.00
_cell_angle_gamma 90.00
loop_
_space_group_symop_operation_xyz
'x,y,z'
loop_
_atom_site_label
_atom_site_type_symbol
_atom_site_fract_x
_atom_site_fract_y
_atom_site_fract_z
Li1 Li 0.0000 0.0000 0.0000
Fe1 Fe 0.0000 0.0000 0.5198
Fe2 Fe 0.5000 0.5000 0.7821
W1 W 0.5000 0.5000 0.2871
```

The formation energy comes out at 0.387 eV per atom. The value obtained for the total magnetization is 0.68 μB per atom.


DFT (PBE-GGA) results for a geometry-optimized CaAcY2 structure.

Geometry as CIF:
```
data_CaAcY2
_chemical_formula_sum 'Ca1 Ac1 Y2'
_space_group_name_H-M_alt 'P 1'
_space_group_IT_number 1
_cell_length_a 5.2163
_cell_length_b 5.2163
_cell_length_c 5.4506
_cell_angle_alpha 90.00
_cell_angle_beta 90.00
_cell_angle_gamma 90.00
loop_
_space_group_symop_operation_xyz
'x,y,z'
loop_
_atom_site_label
_atom_site_type_symbol
_atom_site_fract_x
_atom_site_fract_y
_atom_site_fract_z
Ca1 Ca 0.0000 0.0000 0.0000
Ac1 Ac 0.5000 0.5000 0.0000
Y1 Y 0.0000 0.5000 0.5000
Y2 Y 0.5000 0.0000 0.5000
```

The formation energy comes out at 0.122 eV per atom. The value obtained for the total magnetization is 0.00 μB per atom. Its energy above the most stable polymorph in this dataset is 0.0387 eV per atom.